First-principles (PBE) data for crystalline MgTaIrOs at its relaxed geometry, as listed in the Open Quantum Materials Database.

Summary:
SG: F-43m (216)
DFT total energy: -35.3 eV for the cell shown
density: 15.7 g cm⁻³

Lattice parameters (Å, degrees): 4.4452 4.4452 4.4452 60.00 60.00 60.00
Last column: nearest neighbours and their distance in Å.
Positions (direct):
1 Ta 0.7500 0.7500 0.7500  4 Ir 2.72, 4 Os 2.72
2 Ir 0.0000 0.0000 0.0000  4 Ta 2.72, 4 Mg 2.72
3 Os 0.5000 0.5000 0.5000  4 Ta 2.72, 4 Mg 2.72
4 Mg 0.2500 0.2500 0.2500  4 Os 2.72, 4 Ir 2.72